Computed, not measured: crystalline Mn4AgCl8 at its relaxed geometry at the PBE level of DFT.

The space group is R-3m (No. 166, hexagonal axes) and the conventional cell measures 7.3523, 7.3523 and 19.8134 Å, with angles of 90.00, 90.00 and 120.00 degrees. Symmetry generates all atoms from Mn at (0.0000, 0.0000, 0.0000), Mn at (0.0000, 0.5000, 0.0000), Ag at (0.0000, 0.0000, 0.5000), Cl at (0.0000, 0.0000, 0.2633) and Cl at (0.0005, 0.5002, 0.2599).

The calculation puts the total magnetic moment at 1.46 μB/atom. The raw total energy comes out at -5.02 eV/atom. The calculation puts the uncorrected formation energy at -11.00 eV per formula unit. As for the crystal system: trigonal.